Here is an optimized crystal structure of BaLi3Cl from Alexandria. Energies are from GGA-PBEsol.

a b c (Å): 5.2555 5.2555 5.2555
angles (deg): 90.00 90.00 90.00
Positions (direct):
Ba: 0.0000 0.0000 0.0000
Li: 0.0000 0.5000 0.5000
Li: 0.5000 0.0000 0.5000
Li: 0.5000 0.5000 0.0000
Cl: 0.5000 0.5000 0.5000

Calculated values
Total energy in eV/atom: -2.3834
Size of the total moment in μB per atom: 0.29
Calculated density in g/cm³: 2.21
ΔE_f (raw) in eV per atom: -0.372